Record 1
Computed, not measured: an optimized crystal structure of La4CoS2Cl at the PBE level of DFT.

Results
Formation energy (no corrections) in kJ/mol of formula units: -1135
Space group: P2/m
Uncorrected energy in eV per atom: -6.0854
ρ in g cm⁻³: 5.80

Cell lengths 7.326, 4.039, 7.329 Å; angles 90.00, 109.51, 90.00 degrees
Sites, in units of the cell vectors:
1 La 0.233 0.000 0.226
2 La 0.262 0.500 0.759
3 La 0.738 0.500 0.241
4 La 0.767 0.000 0.774
5 Co 0.000 0.500 0.000
6 S 0.500 0.000 0.000
7 S 0.500 0.500 0.500
8 Cl 0.000 0.000 0.500

=====

Record 2
Computed, not measured: an optimized crystal structure of In2AgS6 at the PBE level of DFT.

Results
Formation energy (no corrections) in kJ/mol of formula units: -30
Space group: P-31m
Uncorrected energy in eV per atom: -3.7111
ρ in g cm⁻³: 4.16

Cell lengths 7.101, 7.101, 4.844 Å; angles 90.00, 90.00, 120.00 degrees
Sites, in units of the cell vectors:
1 In 0.333 0.667 0.000
2 In 0.667 0.333 0.000
3 Ag 0.000 0.000 0.500
4 S 0.000 0.401 0.666
5 S 0.000 0.599 0.334
6 S 0.401 0.000 0.666
7 S 0.401 0.401 0.334
8 S 0.599 0.000 0.334
9 S 0.599 0.599 0.666

=====

Record 3
Computed, not measured: an optimized crystal structure of Ba6Pd3Pb at the PBE level of DFT.

Results
Space group: P2_1/m
Uncorrected energy in eV per atom: -3.5293
Calculated formation energy in eV/atom: -0.447
ρ in g cm⁻³: 5.42

Cell lengths 13.395, 4.711, 13.820 Å; angles 90.00, 108.56, 90.00 degrees
Sites, in units of the cell vectors:
1 Ba 0.025 0.250 0.387
2 Ba 0.109 0.250 0.944
3 Ba 0.219 0.750 0.262
4 Ba 0.296 0.750 0.756
5 Ba 0.368 0.250 0.531
6 Ba 0.423 0.750 0.089
7 Ba 0.577 0.250 0.911
8 Ba 0.632 0.750 0.469
9 Ba 0.704 0.250 0.244
10 Ba 0.781 0.250 0.738
11 Ba 0.891 0.750 0.056
12 Ba 0.975 0.750 0.613
13 Pd 0.050 0.250 0.161
14 Pd 0.182 0.750 0.497
15 Pd 0.340 0.250 0.916
16 Pd 0.660 0.750 0.084
17 Pd 0.818 0.250 0.503
18 Pd 0.950 0.750 0.839
19 Pb 0.448 0.250 0.297
20 Pb 0.552 0.750 0.703

=====

Record 4
Computed, not measured: an optimized crystal structure of Ho4InB3Rh12 at the PBE level of DFT.

Results
Space group: Im-3m
Uncorrected energy in eV per atom: -7.0020
Calculated formation energy in eV/atom: -0.537
ρ in g cm⁻³: 10.28

Cell lengths 7.538, 7.538, 7.538 Å; angles 109.47, 109.47, 109.47 degrees
Sites, in units of the cell vectors:
1 Ho 0.000 0.000 0.500
2 Ho 0.000 0.500 0.000
3 Ho 0.500 0.000 0.000
4 Ho 0.500 0.500 0.500
5 In 0.000 0.000 0.000
6 B 0.000 0.500 0.500
7 B 0.500 0.000 0.500
8 B 0.500 0.500 0.000
9 Rh 0.000 0.280 0.280
10 Rh 0.000 0.720 0.720
11 Rh 0.250 0.500 0.750
12 Rh 0.250 0.750 0.500
13 Rh 0.280 0.000 0.280
14 Rh 0.280 0.280 0.000
15 Rh 0.500 0.250 0.750
16 Rh 0.500 0.750 0.250
17 Rh 0.720 0.000 0.720
18 Rh 0.720 0.720 0.000
19 Rh 0.750 0.250 0.500
20 Rh 0.750 0.500 0.250